1.
The following is a PBE calculation of a geometry-optimized Er2PuUC4 structure, from the Alexandria database.

abc: 6.0621 3.5688 6.1645
angles: 90.00 110.13 90.00
Space group P2/m (No. 10)
One atom of each set of equivalent atoms:
Er1 0.0000 0.0000 0.0000 (multiplicity 1)
Er2 0.0000 0.5000 0.5000 (multiplicity 1)
Pu1 0.5000 0.0000 0.5000 (multiplicity 1)
U1 0.5000 0.5000 0.0000 (multiplicity 1)
C1 0.2773 0.5000 0.2544 (multiplicity 2)
C2 0.2793 0.0000 0.7706 (multiplicity 2)

## Properties
**Mass density**: 11.5 Mg/m³
**Energy relative to the elements**: -192 meV per atom



2.
The following is a PBE calculation of a geometry-optimized ErPu2W2C4 structure, from the Alexandria database.

abc: 16.3146 3.3502 5.6747
angles: 90.00 93.74 90.00
Space group C2/m (No. 12)
One atom of each set of equivalent atoms:
Er1 0.0000 0.0000 0.0000 (multiplicity 2)
Pu1 0.1525 0.0000 0.5739 (multiplicity 4)
W1 0.1844 0.5000 0.0592 (multiplicity 4)
C1 0.0862 0.5000 0.8355 (multiplicity 4)
C2 0.2378 0.0000 0.2325 (multiplicity 4)

## Properties
**Mass density**: 11.5 Mg/m³
**Energy relative to the elements**: 75 meV per atom



3.
The following is a PBE calculation of a geometry-optimized RbEr2C structure, from the Alexandria database.

abc: 3.6116 3.6116 31.9608
angles: 90.00 90.00 120.00
Space group R-3m (No. 166, hexagonal axes)
One atom of each set of equivalent atoms:
Rb1 0.0000 0.0000 0.0000 (multiplicity 3)
Er1 0.0000 0.0000 0.1255 (multiplicity 6)
C1 0.0000 0.0000 0.5000 (multiplicity 3)

## Properties
**Mass density**: 6.0 Mg/m³
**Energy relative to the elements**: 20 meV per atom



4.
The following is a PBE calculation of a geometry-optimized Er5Re2C7 structure, from the Alexandria database.

abc: 7.9725 14.4755 3.3892
angles: 90.00 90.00 90.00
Space group Cmmm (No. 65)
One atom of each set of equivalent atoms:
Er1 0.0000 0.0000 0.0000 (multiplicity 2)
Er2 0.2061 0.3706 0.5000 (multiplicity 8)
Re1 0.0000 0.2151 0.0000 (multiplicity 4)
C1 0.0000 0.1252 0.5000 (multiplicity 4)
C2 0.0000 0.5000 0.0000 (multiplicity 2)
C3 0.1703 0.5000 0.0000 (multiplicity 4)
C4 0.2500 0.2500 0.0000 (multiplicity 4)

## Properties
**Mass density**: 11.0 Mg/m³
**Energy relative to the elements**: -403 meV per atom



5.
The following is a PBE calculation of a geometry-optimized Er2ReC structure, from the Alexandria database.

abc: 3.2819 3.2819 25.1608
angles: 90.00 90.00 120.00
Space group R-3m (No. 166, hexagonal axes)
One atom of each set of equivalent atoms:
Er1 0.0000 0.0000 0.1116 (multiplicity 6)
Re1 0.0000 0.0000 0.0000 (multiplicity 3)
C1 0.0000 0.0000 0.5000 (multiplicity 3)

## Properties
**Mass density**: 11.3 Mg/m³
**Energy relative to the elements**: 619 meV per atom



6.
The following is a PBE calculation of a geometry-optimized Er3Re2C4 structure, from the Alexandria database.

abc: 10.6492 3.2039 7.4318
angles: 90.00 98.85 90.00
Space group C2/m (No. 12)
One atom of each set of equivalent atoms:
Er1 0.0000 0.0000 0.0000 (multiplicity 2)
Er2 0.1152 0.5000 0.3988 (multiplicity 4)
Re1 0.2029 0.5000 0.8269 (multiplicity 4)
C1 0.1333 0.0000 0.6495 (multiplicity 4)
C2 0.1594 0.5000 0.0915 (multiplicity 4)

## Properties
**Mass density**: 12.2 Mg/m³
**Energy relative to the elements**: -86 meV per atom



7.
The following is a PBE calculation of a geometry-optimized ErRe2C2 structure, from the Alexandria database.

abc: 6.9525 8.6920 5.4539
angles: 90.00 122.78 90.00
Space group C2/c (No. 15)
One atom of each set of equivalent atoms:
Er1 0.0000 0.1269 0.2500 (multiplicity 4)
Re1 0.1579 0.3854 0.0360 (multiplicity 8)
C1 0.0000 0.1852 0.7500 (multiplicity 4)
C2 0.0000 0.4211 0.2500 (multiplicity 4)

## Properties
**Mass density**: 13.5 Mg/m³
**Energy relative to the elements**: -35 meV per atom



8.
The following is a PBE calculation of a geometry-optimized Er12Re5C15 structure, from the Alexandria database.

abc: 10.6722 10.6722 5.0382
angles: 90.00 90.00 120.00
Space group P-62m (No. 189)
One atom of each set of equivalent atoms:
Er1 0.0000 0.2059 0.0000 (multiplicity 3)
Er2 0.0000 0.5713 0.0000 (multiplicity 3)
Er3 0.1857 0.4557 0.5000 (multiplicity 6)
Re1 0.0000 0.8468 0.5000 (multiplicity 3)
Re2 0.3333 0.6667 0.0000 (multiplicity 2)
C1 0.0000 0.2162 0.5000 (multiplicity 3)
C2 0.0000 0.5382 0.5000 (multiplicity 3)
C3 0.0000 0.6653 0.5000 (multiplicity 3)
C4 0.1879 0.4668 0.0000 (multiplicity 6)

## Properties
**Mass density**: 10.4 Mg/m³
**Energy relative to the elements**: -377 meV per atom



9.
The following is a PBE calculation of a geometry-optimized ErReC2 structure, from the Alexandria database.

abc: 5.6070 3.3135 10.7913
angles: 90.00 90.00 90.00
Space group Pnma (No. 62)
One atom of each set of equivalent atoms:
Er1 0.0982 0.2500 0.1320 (multiplicity 4)
Re1 0.1044 0.7500 0.3824 (multiplicity 4)
C1 0.1522 0.2500 0.7529 (multiplicity 4)
C2 0.2221 0.2500 0.4845 (multiplicity 4)

## Properties
**Mass density**: 12.5 Mg/m³
**Energy relative to the elements**: -206 meV per atom



10.
The following is a PBE calculation of a geometry-optimized ErReC2 structure, from the Alexandria database.

abc: 3.2077 3.2077 16.2862
angles: 90.00 90.00 120.00
Space group R-3m (No. 166, hexagonal axes)
One atom of each set of equivalent atoms:
Er1 0.0000 0.0000 0.0000 (multiplicity 3)
Re1 0.0000 0.0000 0.5000 (multiplicity 3)
C1 0.0000 0.0000 0.2383 (multiplicity 6)

## Properties
**Mass density**: 13.0 Mg/m³
**Energy relative to the elements**: -14 meV per atom



energy relative to the elements of number 10 (ErReC2)?
-14 meV per atom